LaCo2Re, optimized geometry, DFT GGA-PBE; DFT total energy = -0.273 hartree per atom; formation energy from the elements = 0.460 eV per atom; M_tot = 1.8 μB per cell; crystal system = monoclinic; ΔE to the lowest computed polymorph = 1.794 eV per formula unit
1.0
4.7218 0.0061 -0.0531
-0.7779 4.6572 -0.0531
0.0390 0.0461 2.8693
Co Re La
2 1 1
Direct
0.0000 0.0000 0.0000 Co
0.5000 0.5000 0.0000 Co
0.0000 0.5000 0.5000 Re
0.5000 0.0000 0.5000 La

La2CoRe, optimized geometry, DFT GGA-PBE; DFT total energy = -0.267 hartree per atom; formation energy from the elements = 0.093 eV per atom; M_tot = 0.0 μB per cell; crystal system = orthorhombic; ΔE to the lowest computed polymorph = 0.110 eV per formula unit
1.0
4.2266 0.0000 0.0000
0.0000 4.6605 0.0075
0.0000 2.3220 5.0321
La Co Re
2 1 1
Direct
0.5000 0.2781 0.3187 La
0.0000 0.9779 0.9194 La
0.5000 0.5762 0.7235 Co
0.0000 0.6678 0.5383 Re

La2CoRe, optimized geometry, DFT GGA-PBE; DFT total energy = -0.246 hartree per atom; formation energy from the elements = 0.647 eV per atom; M_tot = 2.8 μB per cell; crystal system = tetragonal; ΔE to the lowest computed polymorph = 2.326 eV per formula unit
1.0
-3.5148 6.5561 1.7106
-5.9973 -2.1136 -4.2222
-6.0207 0.9023 1.2008
La Re Co
4 2 2
Direct
0.1487 0.6250 0.2500 La
0.3750 0.3987 0.7500 La
0.8750 0.8513 0.7500 La
0.6013 0.1250 0.2500 La
0.7500 0.2500 0.5000 Re
0.0000 0.0000 0.0000 Re
0.5000 0.5000 0.0000 Co
0.2500 0.7500 0.5000 Co

LaCo2Re, optimized geometry, DFT GGA-PBE; DFT total energy = -0.272 hartree per atom; formation energy from the elements = 0.501 eV per atom; M_tot = 1.5 μB per cell; crystal system = orthorhombic; ΔE to the lowest computed polymorph = 1.955 eV per formula unit
1.0
5.6785 -0.0031 0.0029
3.1408 4.7308 -0.0029
-3.8352 -3.4355 2.3946
Co La Re
2 1 1
Direct
0.9989 0.9989 0.0000 Co
0.7810 0.2810 0.5000 Co
0.5025 0.5025 0.0000 La
0.2176 0.7176 0.5000 Re

La2CoRe, optimized geometry, DFT GGA-PBE; DFT total energy = -0.256 hartree per atom; formation energy from the elements = 0.398 eV per atom; M_tot = 1.7 μB per cell; crystal system = cubic; ΔE to the lowest computed polymorph = 1.330 eV per formula unit
1.0
0.0000 3.5612 3.5612
3.5612 0.0000 3.5612
3.5612 3.5612 0.0000
Co La Re
1 2 1
Direct
0.0000 0.0000 0.0000 Co
0.2500 0.2500 0.2500 La
0.7500 0.7500 0.7500 La
0.5000 0.5000 0.5000 Re

LaCo2Re2, optimized geometry, DFT GGA-PBE; DFT total energy = -0.314 hartree per atom; formation energy from the elements = 0.260 eV per atom; M_tot = 0.0 μB per cell; crystal system = tetragonal; ΔE to the lowest computed polymorph = 0.515 eV per formula unit
1.0
-1.1406 -2.3640 -3.2415
1.8167 -3.3090 1.7739
-3.9988 -3.9601 1.6117
Re Co La
2 2 1
Direct
0.3769 0.3769 0.2463 Re
0.6231 0.6231 0.7537 Re
0.7500 0.2500 0.5000 Co
0.2500 0.7500 0.5000 Co
0.0000 0.0000 0.0000 La

LaCo2Re, optimized geometry, DFT GGA-PBE; DFT total energy = -0.271 hartree per atom; formation energy from the elements = 0.531 eV per atom; M_tot = 4.3 μB per cell; crystal system = cubic; ΔE to the lowest computed polymorph = 2.077 eV per formula unit
1.0
-1.4568 -3.4735 -2.6024
-2.8703 -3.1149 1.7373
-4.3545 -0.1367 -1.4071
La Re Co
1 1 2
Direct
0.0000 0.0000 0.0000 La
0.5000 0.5000 0.5000 Re
0.7500 0.7500 0.7500 Co
0.2500 0.2500 0.2500 Co

LaCo2Re, optimized geometry, DFT GGA-PBE; DFT total energy = -0.266 hartree per atom; formation energy from the elements = 0.663 eV per atom; M_tot = 2.1 μB per cell; crystal system = trigonal; ΔE to the lowest computed polymorph = 2.605 eV per formula unit
1.0
9.1963 0.0168 0.0098
8.7412 2.8572 0.0098
8.7412 1.4005 2.4905
La Co Re
1 2 1
Direct
0.2500 0.2500 0.2500 La
0.0128 0.0128 0.0128 Co
0.4872 0.4872 0.4872 Co
0.7500 0.7500 0.7500 Re

LaCo2Re, optimized geometry, DFT GGA-PBE; DFT total energy = -0.269 hartree per atom; formation energy from the elements = 0.567 eV per atom; M_tot = 0.0 μB per cell; crystal system = monoclinic; ΔE to the lowest computed polymorph = 2.220 eV per formula unit
1.0
2.7949 0.0000 0.0000
0.0000 6.8008 0.0126
0.0000 3.4565 3.4141
Re Co La
1 2 1
Direct
0.0000 0.0000 0.5000 Re
0.0000 0.0000 0.0000 Co
0.5000 0.5000 0.0000 Co
0.5000 0.5000 0.5000 La

La2CoRe, optimized geometry, DFT GGA-PBE; DFT total energy = -0.247 hartree per atom; formation energy from the elements = 0.621 eV per atom; M_tot = 0.4 μB per cell; crystal system = trigonal; ΔE to the lowest computed polymorph = 2.225 eV per formula unit
1.0
8.6684 -0.0157 -0.0093
7.9561 3.4412 -0.0093
7.9561 1.6393 3.0256
La Co Re
2 1 1
Direct
0.0043 0.0043 0.0043 La
0.4957 0.4957 0.4957 La
0.7500 0.7500 0.7500 Co
0.2500 0.2500 0.2500 Re

LaCo2Re, optimized geometry, DFT GGA-PBE; DFT total energy = -0.277 hartree per atom; formation energy from the elements = 0.368 eV per atom; M_tot = 1.6 μB per cell; crystal system = orthorhombic; ΔE to the lowest computed polymorph = 1.425 eV per formula unit
1.0
2.8355 0.0000 0.0000
0.0000 3.3146 0.0000
0.0000 0.0000 7.0543
Re Co La
1 2 1
Direct
0.5000 0.5000 0.8308 Re
0.0000 0.0000 0.0037 Co
0.5000 0.5000 0.1805 Co
0.0000 0.0000 0.4850 La

LaCo2Re, optimized geometry, DFT GGA-PBE; DFT total energy = -0.264 hartree per atom; formation energy from the elements = 0.708 eV per atom; M_tot = 0.0 μB per cell; crystal system = tetragonal; ΔE to the lowest computed polymorph = 2.785 eV per formula unit
1.0
4.9108 -0.0005 0.0000
1.6531 4.6242 0.0000
-3.2820 -2.3118 2.8284
La Co Re
1 2 1
Direct
0.5000 0.5000 0.0000 La
0.0000 0.0000 0.0000 Co
0.2500 0.7500 0.5000 Co
0.7500 0.2500 0.5000 Re